Entry from the Alexandria database: crystalline LiZn4 at its relaxed geometry (PBE-GGA).

Properties
The value obtained for the relative energy among the computed polymorphs is 121 meV per atom. As for the crystal system: tetragonal. The calculation puts the total DFT energy (no corrections) at -1.41 eV per atom. As for the energy relative to the elements: -10 meV per atom.

abc: 3.684 3.684 12.525
angles: 90.00 90.00 90.00
Space group I4/mmm (No. 139)
Asymmetric unit:
Li  0.000  0.000  0.000
Zn  0.000  0.000  0.402
Zn  0.000  0.500  0.250

Entry from the Alexandria database: crystalline LiZn2 at its relaxed geometry (PBE-GGA).

Properties
As for the crystal system: cubic. The calculation puts the total DFT energy (no corrections) at -1.65 eV per atom. As for the energy relative to the elements: -159 meV per atom.

abc: 7.277 7.277 7.277
angles: 90.00 90.00 90.00
Space group Fd-3m (No. 227, origin choice 2)
Asymmetric unit:
Li  0.125  0.125  0.125
Zn  0.000  0.000  0.500

Entry from the Alexandria database: crystalline Li2Zn at its relaxed geometry (PBE-GGA).

Properties
As for the crystal system: tetragonal. The calculation puts the total DFT energy (no corrections) at -1.81 eV per atom. As for the energy relative to the elements: -107 meV per atom.

abc: 6.403 6.403 5.156
angles: 90.00 90.00 90.00
Space group I4/mcm (No. 140)
Asymmetric unit:
Li  0.161  0.339  0.000
Zn  0.000  0.000  0.250

Entry from the Alexandria database: crystalline Li3Zn7 at its relaxed geometry (PBE-GGA).

Properties
As for the crystal system: monoclinic. The calculation puts the total DFT energy (no corrections) at -1.61 eV per atom. As for the energy relative to the elements: -142 meV per atom.

abc: 13.680 4.039 5.429
angles: 90.00 100.38 90.00
Space group C2/m (No. 12)
Asymmetric unit:
Li  0.000  0.000  0.000
Li  0.200  0.000  0.599
Zn  0.000  0.000  0.500
Zn  0.095  0.500  0.295
Zn  0.106  0.500  0.797
Zn  0.198  0.000  0.099

Entry from the Alexandria database: crystalline Li11Zn4 at its relaxed geometry (PBE-GGA).

Properties
As for the crystal system: tetragonal. The calculation puts the total DFT energy (no corrections) at -1.79 eV per atom. As for the energy relative to the elements: -42 meV per atom.

abc: 9.982 9.982 5.104
angles: 90.00 90.00 90.00
Space group P4_2/mnm (No. 136)
Asymmetric unit:
Li  0.000  0.000  0.000
Li  0.048  0.276  0.000
Li  0.107  0.107  0.500
Li  0.195  0.805  0.254
Zn  0.028  0.366  0.500

Entry from the Alexandria database: crystalline LiZn2 at its relaxed geometry (PBE-GGA).

Properties
As for the crystal system: tetragonal. The calculation puts the total DFT energy (no corrections) at -1.52 eV per atom. As for the energy relative to the elements: -30 meV per atom.

abc: 3.361 3.361 17.692
angles: 90.00 90.00 90.00
Space group I4_1/amd (No. 141, origin choice 2)
Asymmetric unit:
Li  0.000  0.250  0.375
Zn  0.000  0.250  0.802

Entry from the Alexandria database: crystalline LiZn2 at its relaxed geometry (PBE-GGA).

Properties
As for the crystal system: hexagonal. The calculation puts the total DFT energy (no corrections) at -1.67 eV per atom. As for the energy relative to the elements: -187 meV per atom.

abc: 5.1161 5.1161 8.4373
angles: 90.00 90.00 120.00
Space group P6_3/mmc (No. 194)
Asymmetric unit:
Li  0.3333  0.6667  0.0619
Zn  0.0000  0.0000  0.0000
Zn  0.1701  0.3402  0.7500

Entry from the Alexandria database: crystalline Li5Zn2 at its relaxed geometry (PBE-GGA).

Properties
The value obtained for the relative energy among the computed polymorphs is 0 meV per atom. As for the crystal system: monoclinic. The calculation puts the total DFT energy (no corrections) at -1.84 eV per atom. As for the energy relative to the elements: -111 meV per atom.

abc: 12.578 5.004 7.251
angles: 90.00 91.74 90.00
Space group C2/c (No. 15)
Asymmetric unit:
Li  0.000  0.168  0.250
Li  0.132  0.163  0.958
Li  0.215  0.354  0.331
Zn  0.069  0.349  0.609

Entry from the Alexandria database: crystalline Li2Zn13 at its relaxed geometry (PBE-GGA).

Properties
As for the crystal system: trigonal. The calculation puts the total DFT energy (no corrections) at -1.26 eV per atom. As for the energy relative to the elements: 104 meV per atom.

abc: 6.8354 6.8354 19.4952
angles: 90.00 90.00 120.00
Space group R-3m (No. 166, hexagonal axes)
Asymmetric unit:
Li  0.0000  0.0000  0.1285
Zn  0.0000  0.0000  0.0000
Zn  0.0810  0.5405  0.4309
Zn  0.0834  0.5417  0.2826

Entry from the Alexandria database: crystalline LiZn at its relaxed geometry (PBE-GGA).

Properties
As for the crystal system: cubic. The calculation puts the total DFT energy (no corrections) at -1.12 eV per atom. As for the energy relative to the elements: 478 meV per atom.

abc: 5.873 5.873 5.873
angles: 90.00 90.00 90.00
Space group F-43m (No. 216)
Asymmetric unit:
Li  0.000  0.000  0.000
Zn  0.250  0.250  0.250

Entry from the Alexandria database: crystalline Li4Zn at its relaxed geometry (PBE-GGA).

Properties
The value obtained for the relative energy among the computed polymorphs is 0 meV per atom. As for the crystal system: tetragonal. The calculation puts the total DFT energy (no corrections) at -1.87 eV per atom. As for the energy relative to the elements: -82 meV per atom.

abc: 6.490 6.490 4.031
angles: 90.00 90.00 90.00
Space group I4/m (No. 87)
Asymmetric unit:
Li  0.104  0.290  0.000
Zn  0.000  0.000  0.500

Entry from the Alexandria database: crystalline Li17Zn12 at its relaxed geometry (PBE-GGA).

Properties
As for the crystal system: cubic. The calculation puts the total DFT energy (no corrections) at -1.80 eV per atom. As for the energy relative to the elements: -152 meV per atom.

abc: 9.778 9.778 9.778
angles: 90.00 90.00 90.00
Space group I-43m (No. 217)
Asymmetric unit:
Li  0.000  0.000  0.000
Li  0.048  0.362  0.638
Li  0.178  0.178  0.178
Zn  0.091  0.091  0.722

Question: Among the records above, which one has the highest total DFT energy (no corrections)?
Answer: LiZn

Question: What is the formula in the fifth record?
Answer: Li11Zn4

Question: energy relative to the elements of number 3 (Li2Zn)?
Answer: -107 meV per atom

Question: Which formula does entry 2 have?
Answer: LiZn2